Entry 1:
{"formula": "Ge2PbC2", "functional": "PBE", "state": "relaxed", "polymorph_energy_ev_per_atom": 0.0000, "sg": "No. 127", "volume_a3_per_cell": 198.9, "formation_enthalpy_0k_mev_per_atom": 1211, "n_ef_per_ev_fu": 1.99, "lattice_angstrom": [[7.908, 0.000, 0.000], [0.000, 7.908, 0.000], [0.000, 0.000, 3.180]], "species": ["Ge", "Ge", "Ge", "Ge", "Pb", "Pb", "C", "C", "C", "C"], "fractional_positions": [[0.150, 0.350, 0.000], [0.350, 0.850, 0.000], [0.650, 0.150, 0.000], [0.850, 0.650, 0.000], [0.000, 0.000, 0.000], [0.500, 0.500, 0.000], [0.060, 0.560, 0.500], [0.440, 0.060, 0.500], [0.560, 0.940, 0.500], [0.940, 0.440, 0.500]]}

Entry 2:
{"formula": "Ge3PbC", "functional": "PBE", "state": "relaxed", "polymorph_energy_ev_per_atom": 0.0000, "sg": "No. 221", "volume_a3_per_cell": 95.2, "formation_enthalpy_0k_mev_per_atom": 910, "n_ef_per_ev_fu": 3.52, "lattice_angstrom": [[4.566, 0.000, 0.000], [0.000, 4.566, 0.000], [0.000, 0.000, 4.566]], "species": ["Ge", "Ge", "Ge", "Pb", "C"], "fractional_positions": [[0.000, 0.000, 0.500], [0.000, 0.500, 0.000], [0.500, 0.000, 0.000], [0.500, 0.500, 0.500], [0.000, 0.000, 0.000]]}

Entry 3:
{"formula": "Ge2PbC", "functional": "PBE", "state": "relaxed", "polymorph_energy_ev_per_atom": 0.9083, "sg": "No. 225", "volume_a3_per_cell": 78.8, "formation_enthalpy_0k_mev_per_atom": 1589, "n_ef_per_ev_fu": 2.52, "lattice_angstrom": [[0.000, 3.403, 3.403], [3.403, 0.000, 3.403], [3.403, 3.403, 0.000]], "species": ["Ge", "Ge", "Pb", "C"], "fractional_positions": [[0.250, 0.250, 0.250], [0.750, 0.750, 0.750], [0.000, 0.000, 0.000], [0.500, 0.500, 0.500]]}

Entry 4:
{"formula": "GePb3C", "functional": "PBE", "state": "relaxed", "polymorph_energy_ev_per_atom": 0.0000, "sg": "No. 221", "volume_a3_per_cell": 126.7, "formation_enthalpy_0k_mev_per_atom": 969, "n_ef_per_ev_fu": 3.86, "lattice_angstrom": [[5.022, 0.000, 0.000], [0.000, 5.022, 0.000], [0.000, 0.000, 5.022]], "species": ["Ge", "Pb", "Pb", "Pb", "C"], "fractional_positions": [[0.000, 0.000, 0.000], [0.000, 0.500, 0.500], [0.500, 0.000, 0.500], [0.500, 0.500, 0.000], [0.500, 0.500, 0.500]]}